No. 1
Density functional theory data (GGA-PBE) for an optimized crystal structure of Nd4Er8Pu.

Cell lengths 7.747, 7.747, 7.747 Å; angles 90.18, 90.18, 90.18 degrees
Sites, in units of the cell vectors:
Nd (0.000, 0.000, 0.000)
Nd (0.000, 0.500, 0.500)
Nd (0.500, 0.000, 0.500)
Nd (0.500, 0.500, 0.000)
Er (0.243, 0.243, 0.755)
Er (0.243, 0.755, 0.243)
Er (0.244, 0.244, 0.244)
Er (0.245, 0.757, 0.757)
Er (0.755, 0.243, 0.243)
Er (0.756, 0.756, 0.756)
Er (0.757, 0.245, 0.757)
Er (0.757, 0.757, 0.245)
Pu (0.500, 0.500, 0.500)

Calculated values
- density (g/cm3) = 7.71
- energy of formation (kcal/mol of atoms) = 12.5
- space group = R-3m (166)


No. 2
Density functional theory data (GGA-PBE) for an optimized crystal structure of Pm2Ho7Cd2.

Cell lengths 7.520, 7.520, 6.574 Å; angles 105.07, 105.07, 100.47 degrees
Sites, in units of the cell vectors:
Pm (0.140, 0.860, 0.000)
Pm (0.860, 0.140, 0.000)
Ho (0.000, 0.000, 0.500)
Ho (0.065, 0.576, 0.303)
Ho (0.343, 0.343, 0.040)
Ho (0.424, 0.935, 0.697)
Ho (0.576, 0.065, 0.303)
Ho (0.657, 0.657, 0.960)
Ho (0.935, 0.424, 0.697)
Cd (0.336, 0.336, 0.528)
Cd (0.664, 0.664, 0.472)

Calculated values
- density (g/cm3) = 8.30
- energy of formation (kcal/mol of atoms) = 2.1
- space group = C2/m (12)


No. 3
Density functional theory data (GGA-PBE) for an optimized crystal structure of GaFeTeN2.

Cell lengths 3.821, 3.821, 6.207 Å; angles 90.00, 90.00, 90.00 degrees
Sites, in units of the cell vectors:
Ga (0.000, 0.000, 0.000)
Fe (0.500, 0.500, 0.500)
Te (0.000, 0.000, 0.500)
N (0.000, 0.500, 0.000)
N (0.500, 0.000, 0.000)

Calculated values
- energy relative to the lowest polymorph listed for this composition (eV per formula unit) = 2.76
- density (g/cm3) = 5.15
- formation energy from raw total energies (eV/f.u.) = 6.98
- space group = P4/mmm (123)


No. 4
Density functional theory data (GGA-PBE) for an optimized crystal structure of Sr2SnHgPd.

Cell lengths 5.902, 5.902, 5.036 Å; angles 90.00, 90.00, 90.00 degrees
Sites, in units of the cell vectors:
Sr (0.000, 0.500, 0.000)
Sr (0.500, 0.000, 0.000)
Sn (0.000, 0.000, 0.500)
Hg (0.500, 0.500, 0.500)
Pd (0.000, 0.000, 0.000)

Calculated values
- density (g/cm3) = 5.69
- energy of formation (kcal/mol of atoms) = -11.4
- space group = P4/mmm (123)


No. 5
Density functional theory data (GGA-PBE) for an optimized crystal structure of K2PaSnS4.

Cell lengths 7.359, 4.146, 7.645 Å; angles 90.00, 107.76, 90.00 degrees
Sites, in units of the cell vectors:
K (0.000, 0.000, 0.000)
K (0.500, 0.500, 0.000)
Pa (0.000, 0.500, 0.500)
Sn (0.500, 0.000, 0.500)
S (0.220, 0.000, 0.702)
S (0.242, 0.500, 0.296)
S (0.758, 0.500, 0.704)
S (0.780, 0.000, 0.298)

Calculated values
- density (g/cm3) = 4.16
- formation energy from raw total energies (eV/f.u.) = -9.98
- space group = P2/m (10)


No. 6
Density functional theory data (GGA-PBE) for an optimized crystal structure of CsThNpS4.

Cell lengths 8.727, 8.727, 8.727 Å; angles 120.33, 119.50, 90.16 degrees
Sites, in units of the cell vectors:
Cs (0.381, 0.131, 0.250)
Cs (0.619, 0.869, 0.750)
Th (0.000, 0.500, 0.500)
Th (0.500, 0.500, 0.000)
Np (0.000, 0.000, 0.500)
Np (0.000, 0.500, 0.000)
S (0.174, 0.724, 0.449)
S (0.225, 0.276, 0.949)
S (0.229, 0.277, 0.548)
S (0.229, 0.681, 0.952)
S (0.771, 0.319, 0.048)
S (0.771, 0.723, 0.452)
S (0.775, 0.724, 0.051)
S (0.826, 0.276, 0.551)

Calculated values
- density (g/cm3) = 5.15
- formation energy from raw total energies (eV/f.u.) = -10.76
- space group = Imma (74)


No. 7
Density functional theory data (GGA-PBE) for an optimized crystal structure of KBa2Os.

Cell lengths 5.059, 5.059, 10.358 Å; angles 90.00, 90.00, 90.00 degrees
Sites, in units of the cell vectors:
K (0.000, 0.000, 0.000)
K (0.500, 0.500, 0.500)
Ba (0.000, 0.000, 0.500)
Ba (0.000, 0.500, 0.250)
Ba (0.500, 0.000, 0.750)
Ba (0.500, 0.500, 0.000)
Os (0.000, 0.500, 0.750)
Os (0.500, 0.000, 0.250)

Calculated values
- energy relative to the lowest polymorph listed for this composition (eV per formula unit) = 1.74
- density (g/cm3) = 6.31
- energy of formation (kcal/mol of atoms) = 22.6
- space group = I-4m2 (119)